(1)
A relaxed structure of Rb3BS3. Source: Alexandria via LeMat-Bulk, functional PBEsol.

extended XYZ file:
```
28
Lattice="-3.882 -3.021 4.202 -5.192 -4.461 -8.004 9.712 -8.542 2.831" Properties=species:S:1:pos:R:3 pbc="T T T"
S -1.407 -5.698 -4.643
S -1.458 -5.002 0.791
S 2.045 -10.326 3.672
S 2.096 -11.023 -1.762
S -3.827 -9.444 -3.199
S -0.123 -2.101 0.522
S 4.465 -6.581 2.228
S 0.761 -13.924 -1.493
S 3.428 -13.225 0.103
S 2.866 -6.448 -0.524
S -2.790 -2.800 -1.074
S -2.229 -9.576 -0.447
B -3.789 -9.264 -1.366
B -1.462 -3.293 0.097
B 4.427 -6.760 0.395
B 2.100 -12.732 -1.068
Rb -0.335 -8.755 -3.049
Rb 4.999 -12.187 4.392
Rb 0.973 -7.270 2.078
Rb -4.361 -3.837 -5.363
Rb -6.449 -7.700 -4.383
Rb 2.511 -3.835 1.693
Rb 7.087 -8.325 3.412
Rb -1.873 -12.189 -2.664
Rb -3.371 -6.025 -1.844
Rb 0.609 -4.595 -2.119
Rb 4.009 -10.000 0.873
Rb 0.029 -11.430 1.148
```

Calculated values
Its uncorrected formation energy is -7.31 eV per formula unit. As for the space-group type: P2_1/c. As for the density: 2764 kg/m3.

(2)
A relaxed structure of RbBS3. Source: Alexandria via LeMat-Bulk, functional PBEsol.

extended XYZ file:
```
5
Lattice="4.439 0.000 0.000 0.000 4.439 0.000 0.000 0.000 4.439" Properties=species:S:1:pos:R:3 pbc="T T T"
S 0.000 2.219 0.000
S 0.000 0.000 2.219
S 2.219 0.000 0.000
B 0.000 0.000 0.000
Rb 2.219 2.219 2.219
```

Calculated values
Its uncorrected formation energy is 1.41 eV per formula unit. As for the space-group type: Pm-3m. As for the density: 3655 kg/m3.

Which of these has the highest density?
RbBS3

uncorrected formation energy of number 2 (RbBS3)?
1.41 eV per formula unit

Look up the density of the first one.
2764 kg/m3

Which formula does entry 2 have?
RbBS3